TiTl2InI6 | PBE | relaxed

The structure in POSCAR format:
```
TiTl2InI6
1.0
-7.2490 4.2376 -0.7386
-7.1891 -4.1628 -1.4236
-5.8646 -0.5572 6.2945
I Tl In Ti
6 2 1 1
direct
0.4406 0.6580 0.7845
0.0011 0.5492 0.2463
0.2033 0.0012 0.2466
0.6579 0.1168 0.7845
0.5491 0.2034 0.2465
0.1172 0.4406 0.7841
0.5309 0.5306 0.4077
0.0177 0.0178 0.9469
0.8182 0.8183 0.5449
0.3256 0.3256 0.0232
```

Calculated values
Raw formation energy = -0.6239 eV/atom
Final energy = -3.09 eV/atom
DOS(E_F) = 6.21 states/eV per cell
SG = R3 (146)

=====

TiTlIn2I6 | PBE | relaxed

The structure in POSCAR format:
```
TiTlIn2I6
1.0
-6.2146 4.9537 2.6127
-6.7607 -3.3171 3.6414
-1.1463 1.1396 8.5349
I In Tl Ti
6 2 1 1
direct
0.5493 0.2198 0.2378
0.2197 0.9929 0.2378
0.1255 0.4221 0.7818
0.6715 0.1247 0.7821
0.9924 0.5504 0.2373
0.4221 0.6709 0.7813
0.0110 0.0111 0.9675
0.5251 0.5246 0.4250
0.8181 0.8183 0.5453
0.3269 0.3269 0.0194
```

Calculated values
Raw formation energy = -0.5848 eV/atom
Final energy = -3.09 eV/atom
DOS(E_F) = 6.01 states/eV per cell
SG = P1 (1)

=====

TiVInI6 | PBE | relaxed

The structure in POSCAR format:
```
TiVInI6
1.0
7.3672 -0.0003 -0.0009
3.6839 6.3817 -0.0006
-0.0032 0.0000 7.4878
In I V Ti
1 6 1 1
direct
0.0000 0.0000 0.0000
0.9994 0.6269 0.7154
0.3738 0.9992 0.7155
0.6270 0.3740 0.7156
0.9990 0.3739 0.2843
0.3737 0.6269 0.2846
0.6269 0.9992 0.2845
0.6666 0.6667 0.5000
0.3333 0.3333 0.5000
```

Calculated values
Raw formation energy = -0.5613 eV/atom
Final energy = -3.79 eV/atom
DOS(E_F) = 6.56 states/eV per cell
SG = P312 (149)

=====

TlInI3 | PBE | relaxed

The structure in POSCAR format:
```
TlInI3
1.0
8.4055 0.0000 0.2754
0.0000 9.3931 0.0000
1.4508 0.0000 12.1363
Tl In I
4 4 12
direct
0.4216 0.8669 0.2130
0.0784 0.3669 0.2870
0.5784 0.1331 0.7870
0.9216 0.6331 0.7130
0.3474 0.7119 0.8708
0.6526 0.2881 0.1292
0.8474 0.7881 0.3708
0.1526 0.2119 0.6292
0.1869 0.9457 0.7617
0.3131 0.4457 0.7383
0.8410 0.3288 0.9115
0.6869 0.5543 0.2617
0.1590 0.6712 0.0885
0.6590 0.8288 0.5885
0.3498 0.1873 0.0645
0.6502 0.8127 0.9355
0.3410 0.1712 0.4115
0.1502 0.6873 0.4355
0.8498 0.3127 0.5645
0.8131 0.0543 0.2383
```

Calculated values
Raw formation energy = -0.4998 eV/atom
Final energy = -2.45 eV/atom
DOS(E_F) = 6.16 states/eV per cell
SG = P2_1/c (14)

=====

TlInI3 | PBE | relaxed

The structure in POSCAR format:
```
TlInI3
1.0
5.1650 -0.0036 -0.2246
-0.0184 8.9764 1.2645
-0.2429 3.3866 10.9599
I Tl In
6 2 2
direct
0.9746 0.5855 0.0033
0.4145 0.9584 0.6614
0.4981 0.2126 0.2774
0.4420 0.3955 0.8050
0.9696 0.0160 0.0650
0.0339 0.5412 0.4469
0.9296 0.1758 0.7062
0.5178 0.6238 0.2382
0.9253 0.7180 0.6608
0.7181 0.2949 0.0469
```

Calculated values
Raw formation energy = -0.5324 eV/atom
Final energy = -2.48 eV/atom
SG = P1 (1)

=====

Tl2InI4 | PBE | relaxed

The structure in POSCAR format:
```
Tl2InI4
1.0
8.7927 0.5945 -2.5161
-4.5513 7.5466 -2.5161
-0.3096 -0.5943 9.6725
I Tl In
8 4 2
direct
0.6500 0.6576 0.1442
0.7636 0.2564 0.8564
0.2564 0.7636 0.3564
0.6576 0.6500 0.6442
0.3314 0.8250 0.8247
0.2504 0.2568 0.1757
0.8250 0.3314 0.3247
0.2568 0.2504 0.6757
0.5274 0.2041 0.4838
0.7933 0.9705 0.0163
0.9705 0.7933 0.5163
0.2041 0.5274 0.9838
0.2625 0.5124 0.5003
0.5124 0.2625 0.0003
```

Calculated values
Raw formation energy = -0.5392 eV/atom
Final energy = -2.49 eV/atom
DOS(E_F) = 1.57 states/eV per cell
SG = Fdd2 (43)

=====

TlInI | PBE | relaxed

The structure in POSCAR format:
```
TlInI
1.0
10.6153 0.0000 -0.0125
0.0000 5.3574 0.0000
-2.6483 0.0000 8.7707
I In Tl
4 4 4
direct
0.8556 0.5000 0.0460
0.8556 0.0000 0.5460
0.4973 0.0000 0.0961
0.4973 0.5000 0.5961
0.1963 0.0000 0.9920
0.1843 0.5000 0.1534
0.1843 0.0000 0.6534
0.1963 0.5000 0.4920
0.6640 0.5000 0.3173
0.0383 0.5000 0.7714
0.0383 0.0000 0.2714
0.6640 0.0000 0.8173
```

Calculated values
Raw formation energy = -0.3087 eV/atom
Final energy = -2.53 eV/atom
DOS(E_F) = 1.07 states/eV per cell
SG = Cm (8)

=====

TlInI | PBE | relaxed

The structure in POSCAR format:
```
TlInI
1.0
10.9809 0.0000 0.0054
0.0000 5.3150 0.0000
-2.4956 0.0000 8.7115
Tl In I
4 4 4
direct
0.0434 0.0000 0.2353
0.6605 0.5000 0.6052
0.6605 0.0000 0.1052
0.0434 0.5000 0.7353
0.1972 0.5000 0.1187
0.1835 0.0000 0.9494
0.1972 0.0000 0.6187
0.1835 0.5000 0.4494
0.8648 0.0000 0.8392
0.8648 0.5000 0.3392
0.4864 0.0000 0.7131
0.4864 0.5000 0.2131
```

Calculated values
Raw formation energy = -0.2949 eV/atom
Final energy = -2.51 eV/atom
DOS(E_F) = 0.98 states/eV per cell
SG = Cm (8)

=====

Tl2InI3 | PBE | relaxed

The structure in POSCAR format:
```
Tl2InI3
1.0
7.0410 0.0000 0.0000
0.0000 10.3894 -0.0898
0.0000 -5.1681 9.0133
I Tl In
6 4 2
direct
0.4937 0.4977 0.1662
0.9912 0.1638 0.1638
0.4912 0.8362 0.8362
0.4937 0.1662 0.4977
0.9937 0.8338 0.5023
0.9937 0.5023 0.8338
0.4937 0.5011 0.8339
0.9937 0.4989 0.1661
0.9937 0.1661 0.4989
0.4937 0.8339 0.5011
0.4921 0.1672 0.1672
0.9921 0.8328 0.8328
```

Calculated values
Raw formation energy = -0.5566 eV/atom
Final energy = -2.58 eV/atom
DOS(E_F) = 0.00 states/eV per cell
SG = Cmc2_1 (36)

=====

Tl4InI6 | PBE | relaxed

The structure in POSCAR format:
```
Tl4InI6
1.0
-6.3614 -5.6175 -4.3118
-0.9630 -5.0559 8.0078
-7.2278 5.9626 2.8954
Tl I In
8 12 2
direct
0.1611 0.6611 0.7500
0.6611 0.8389 0.2500
0.8389 0.3389 0.7500
0.3389 0.1611 0.7500
0.8389 0.3389 0.2500
0.1611 0.6611 0.2500
0.6611 0.8389 0.7500
0.3389 0.1611 0.2500
0.0000 0.0000 0.1897
0.5000 0.5000 0.3103
0.1270 0.3163 0.5000
0.8163 0.6270 0.0000
0.3730 0.8163 0.0000
0.8730 0.6837 0.5000
0.0000 0.0000 0.8103
0.6270 0.1837 0.0000
0.1837 0.3730 0.0000
0.6837 0.1270 0.5000
0.3163 0.8730 0.5000
0.5000 0.5000 0.6897
0.0000 0.0000 0.5000
0.5000 0.5000 0.0000
```

Calculated values
Raw formation energy = -0.5770 eV/atom
Final energy = -2.53 eV/atom
DOS(E_F) = 5.89 states/eV per cell
SG = P4/mnc (128)

=====

TlIn2I3 | PBE | relaxed

The structure in POSCAR format:
```
TlIn2I3
1.0
5.0090 0.0000 0.0000
0.0000 6.9623 0.4776
0.0000 -2.5196 13.4982
In I Tl
4 6 2
direct
0.7500 0.3238 0.0372
0.2500 0.7072 0.6295
0.7500 0.2928 0.3705
0.2500 0.6762 0.9628
0.7500 0.5842 0.7862
0.2500 0.4158 0.2138
0.2500 0.2582 0.5450
0.2500 0.1014 0.8837
0.7500 0.8986 0.1163
0.7500 0.7418 0.4550
0.7500 0.1042 0.7046
0.2500 0.8958 0.2954
```

Calculated values
Raw formation energy = -0.5170 eV/atom
Final energy = -2.60 eV/atom
DOS(E_F) = 0.00 states/eV per cell
SG = P2_1/m (11)

=====

TlIn4I5 | PBE | relaxed

The structure in POSCAR format:
```
TlIn4I5
1.0
4.9744 0.0000 0.0000
2.4872 4.3080 0.0000
2.4872 1.4360 20.3030
I In Tl
5 4 1
direct
0.7993 0.7993 0.6022
0.6003 0.6003 0.1991
0.2007 0.2007 0.3978
0.0000 0.0000 0.0000
0.3997 0.3997 0.8009
0.9005 0.9005 0.2984
0.3002 0.3002 0.0995
0.0995 0.0995 0.7016
0.6998 0.6998 0.9005
0.5000 0.5000 0.5000
```

Calculated values
Raw formation energy = -0.4967 eV/atom
Final energy = -2.60 eV/atom
DOS(E_F) = 0.00 states/eV per cell
SG = R-3m (166)